First-principles (GGA-PBEsol) data for an optimized crystal structure of Co2CCl, as listed in the Alexandria database.

Structure (extended XYZ):
```
8
Lattice="-0.9586 0.5355 -4.4139 -4.4393 0.1365 0.9807 2.9575 4.3721 2.2316" Properties=species:S:1:pos:R:3 pbc="T T T"
C -0.3500 2.6218 -1.9494
C -2.6990 0.3360 -1.7166
Co -3.5826 1.4569 -0.5987
Co -1.6861 1.5692 -2.5770
Co 1.1818 3.3742 1.3245
Co -0.7940 3.6880 -0.5519
Cl -2.0904 2.4223 0.7479
Cl 0.0000 0.0000 0.0000
```

Properties
DOS(E_F): 3.042 states/eV/f.u.
M_tot: 0.8 μB/f.u.
calculated total energy: -51.70 eV for the cell shown
formation energy without anion corrections: 0.319 eV/atom